Here is an optimized crystal structure of Sr2CdInTe5 from Alexandria. Energies are from PBE.

## Properties
- Total energy: -60.931 eV for the cell shown
- Formation energy without anion corrections: -0.860 eV per atom
- Size of the total moment: 0.00 Bohr magnetons per cell

Cell: 4.4862 10.6538 13.5963 Å, 90.00 90.00 102.15°
Atoms (fractional coordinates):
Sr (0.8782, 0.7563, 0.7958)
Sr (0.0984, 0.1969, 0.6463)
Sr (0.1218, 0.2437, 0.2958)
Sr (0.9016, 0.8031, 0.1463)
Cd (0.7536, 0.5073, 0.5411)
Cd (0.2464, 0.4927, 0.0411)
In (0.5779, 0.1558, 0.9410)
In (0.4221, 0.8442, 0.4410)
Te (0.3782, 0.7565, 0.9773)
Te (0.7134, 0.4268, 0.9015)
Te (0.5087, 0.0174, 0.7660)
Te (0.2620, 0.5241, 0.6914)
Te (0.9432, 0.8863, 0.5636)
Te (0.6218, 0.2435, 0.4773)
Te (0.2866, 0.5732, 0.4015)
Te (0.4913, 0.9826, 0.2660)
Te (0.7380, 0.4759, 0.1914)
Te (0.0568, 0.1137, 0.0636)


Here is an optimized crystal structure of SrThCdIn from Alexandria. Energies are from PBE.

## Properties
- Total energy: -13.411 eV for the cell shown
- Energy relative to the elements: -0.164 eV/atom
- Size of the total moment: 0.02 Bohr magnetons per cell

Cell: 5.5755 5.5755 5.5755 Å, 60.00 60.00 60.00°
Atoms (fractional coordinates):
Sr (0.7500, 0.7500, 0.7500)
Cd (0.0000, 0.0000, 0.0000)
Th (0.2500, 0.2500, 0.2500)
In (0.5000, 0.5000, 0.5000)


Here is an optimized crystal structure of Sr2TlCd3In4 from Alexandria. Energies are from PBE.

## Properties
- Total energy: -21.966 eV for the cell shown
- Energy relative to the elements: -0.254 eV/atom
- Size of the total moment: 0.00 Bohr magnetons per cell

Cell: 4.8367 4.8367 12.4639 Å, 90.00 90.00 90.00°
Atoms (fractional coordinates):
Sr (0.5000, 0.0000, 0.2485)
Sr (0.0000, 0.5000, 0.7515)
Tl (0.5000, 0.5000, 0.5000)
Cd (0.0000, 0.0000, 0.5000)
Cd (0.5000, 0.0000, 0.8632)
Cd (0.0000, 0.5000, 0.1368)
In (0.5000, 0.5000, 0.0000)
In (0.0000, 0.0000, 0.0000)
In (0.5000, 0.0000, 0.6413)
In (0.0000, 0.5000, 0.3587)


Here is an optimized crystal structure of Sr2TlCd6In from Alexandria. Energies are from PBE.

## Properties
- Total energy: -31.813 eV for the cell shown
- Energy relative to the elements: -0.195 eV/atom
- Size of the total moment: 0.00 Bohr magnetons per cell

Cell: 6.4251 6.4251 16.4083 Å, 78.71 78.71 60.00°
Atoms (fractional coordinates):
Sr (0.8533, 0.8533, 0.4402)
Sr (0.1467, 0.1467, 0.5598)
Sr (0.7123, 0.7123, 0.8631)
Sr (0.2877, 0.2877, 0.1369)
Tl (0.6446, 0.6446, 0.0662)
Tl (0.3554, 0.3554, 0.9338)
Cd (0.9025, 0.3711, 0.3553)
Cd (0.3711, 0.9025, 0.3553)
Cd (0.3711, 0.3711, 0.3553)
Cd (0.0975, 0.6289, 0.6447)
Cd (0.6289, 0.0975, 0.6447)
Cd (0.6289, 0.6289, 0.6447)
Cd (0.7599, 0.2288, 0.7825)
Cd (0.2288, 0.7599, 0.7825)
Cd (0.2288, 0.2288, 0.7825)
Cd (0.2401, 0.7712, 0.2175)
Cd (0.7712, 0.2401, 0.2175)
Cd (0.7712, 0.7712, 0.2175)
In (0.0000, 0.0000, 0.0000)
In (0.5000, 0.5000, 0.5000)


Here is an optimized crystal structure of SrTlCdIn from Alexandria. Energies are from PBE.

## Properties
- Total energy: -8.741 eV for the cell shown
- Energy relative to the elements: -0.260 eV/atom
- Size of the total moment: 0.00 Bohr magnetons per cell

Cell: 5.4584 5.4584 5.4584 Å, 60.00 60.00 60.00°
Atoms (fractional coordinates):
Sr (0.0000, 0.0000, 0.0000)
Tl (0.2500, 0.2500, 0.2500)
Cd (0.7500, 0.7500, 0.7500)
In (0.5000, 0.5000, 0.5000)


Here is an optimized crystal structure of Sr2Tl7CdIn2 from Alexandria. Energies are from PBE.

## Properties
- Total energy: -27.655 eV for the cell shown
- Energy relative to the elements: -0.111 eV/atom
- Size of the total moment: 0.00 Bohr magnetons per cell

Cell: 4.8589 4.8589 16.2251 Å, 85.90 85.90 88.84°
Atoms (fractional coordinates):
Sr (0.9074, 0.9074, 0.3357)
Sr (0.0926, 0.0926, 0.6643)
Tl (0.5000, 0.5000, 0.0000)
Tl (0.3004, 0.3004, 0.4626)
Tl (0.6996, 0.6996, 0.5374)
Tl (0.9576, 0.4569, 0.1492)
Tl (0.4569, 0.9576, 0.1492)
Tl (0.5431, 0.0424, 0.8508)
Tl (0.0424, 0.5431, 0.8508)
Cd (0.0000, 0.0000, 0.0000)
In (0.5756, 0.5756, 0.7225)
In (0.4244, 0.4244, 0.2775)


Here is an optimized crystal structure of SrTmCdIn from Alexandria. Energies are from PBE.

## Properties
- Total energy: -11.109 eV for the cell shown
- Energy relative to the elements: -0.325 eV/atom
- Size of the total moment: 0.00 Bohr magnetons per cell

Cell: 5.4803 5.4803 5.4803 Å, 60.00 60.00 60.00°
Atoms (fractional coordinates):
Cd (0.2500, 0.2500, 0.2500)
Tm (0.0000, 0.0000, 0.0000)
Sr (0.5000, 0.5000, 0.5000)
In (0.7500, 0.7500, 0.7500)


Here is an optimized crystal structure of SrTmCd2In2 from Alexandria. Energies are from PBE.

## Properties
- Total energy: -15.752 eV for the cell shown
- Energy relative to the elements: -0.382 eV/atom
- Size of the total moment: 0.00 Bohr magnetons per cell

Cell: 4.9622 4.9622 7.7834 Å, 90.00 90.00 120.00°
Atoms (fractional coordinates):
Sr (0.0000, 0.0000, 0.0000)
Tm (0.0000, 0.0000, 0.5000)
Cd (0.6667, 0.3333, 0.2941)
Cd (0.3333, 0.6667, 0.7059)
In (0.6667, 0.3333, 0.7134)
In (0.3333, 0.6667, 0.2866)